Compound: YRu3
Source: Alexandria via LeMat-Bulk
Functional: PBE-GGA
Structure: relaxed

```
YRu3
1.0
-0.9135 -3.5046 1.8151
2.5408 0.9034 3.0232
-3.0201 1.8201 1.9944
Ru Y
3 1
Direct
0.5000 0.0000 0.5000
0.0000 0.5000 0.5000
0.5000 0.5000 0.0000
0.0000 0.0000 0.0000
```

The calculation puts the calculated formation energy at 4.7 kcal/mol of atoms. The crystal system is cubic. For the total energy, the calculation gives -0.615 Ry/atom. As for the space group: No. 221.